# 1
# LaTlCuAu

A geometry-optimized LaTlCuAu structure (PBE, OQMD).

abc: 7.1339 7.1339 7.1339
angles: 90.00 90.00 90.00
Space group F-43m (No. 216)
Unique sites:
La: 0.0000 0.0000 0.0000 [4 per cell]
Tl: 0.2500 0.2500 0.2500 [4 per cell]
Cu: 0.2500 0.2500 0.7500 [4 per cell]
Au: 0.0000 0.0000 0.5000 [4 per cell]

Summary:
- ΔE to the lowest computed polymorph (kJ/mol of formula units) = 51.1

---

# 2
# ThSc2Te2

A geometry-optimized ThSc2Te2 structure (PBE, OQMD).

abc: 4.1336 4.1336 15.1861
angles: 90.00 90.00 90.00
Space group I4/mmm (No. 139)
Unique sites:
Th: 0.0000 0.0000 0.0000 [2 per cell]
Sc: 0.0000 0.5000 0.2500 [4 per cell]
Te: 0.0000 0.0000 0.3908 [4 per cell]

Summary:
- raw total energy (eV/atom) = -6.01